# GGA-PBE NaCeF2, relaxed
data_NaCeF2
_space_group_name_H-M_alt 'P 1'
_space_group_IT_number 1
_cell_length_a 8.0766
_cell_length_b 8.0766
_cell_length_c 8.0766
_cell_angle_alpha 24.63
_cell_angle_beta 24.63
_cell_angle_gamma 24.63
loop_
_space_group_symop_operation_xyz
'x,y,z'
loop_
_atom_site_label
_atom_site_fract_x
_atom_site_fract_y
_atom_site_fract_z
_atom_site_occupancy
Na1 0.0000 0.0000 0.0000 1
Ce1 0.5000 0.5000 0.5000 1
F1 0.0995 0.0995 0.0995 1
F2 0.9005 0.9005 0.9005 1
# ΔE_f (raw): -54.3 kcal/mol of atoms
# calculated total energy: -5.104 eV per atom
# Fermi-level density of states: 6.3 states/eV/f.u.

***

# GGA-PBE NaCeF3, relaxed
data_NaCeF3
_space_group_name_H-M_alt 'P 1'
_space_group_IT_number 1
_cell_length_a 6.6972
_cell_length_b 8.5076
_cell_length_c 6.1980
_cell_angle_alpha 90.00
_cell_angle_beta 90.00
_cell_angle_gamma 90.00
loop_
_space_group_symop_operation_xyz
'x,y,z'
loop_
_atom_site_label
_atom_site_fract_x
_atom_site_fract_y
_atom_site_fract_z
_atom_site_occupancy
Na1 0.0180 0.2500 0.0088 1
Na2 0.4820 0.7500 0.5088 1
Na3 0.5180 0.2500 0.4912 1
Na4 0.9820 0.7500 0.9912 1
Ce1 0.0000 0.0000 0.5000 1
Ce2 0.0000 0.5000 0.5000 1
Ce3 0.5000 0.0000 0.0000 1
Ce4 0.5000 0.5000 0.0000 1
F1 0.0659 0.7500 0.3372 1
F2 0.1665 0.5065 0.8503 1
F3 0.1665 0.9935 0.8503 1
F4 0.3335 0.0065 0.3503 1
F5 0.3335 0.4935 0.3503 1
F6 0.4341 0.2500 0.8372 1
F7 0.5659 0.7500 0.1628 1
F8 0.6665 0.5065 0.6497 1
F9 0.6665 0.9935 0.6497 1
F10 0.8335 0.0065 0.1497 1
F11 0.8335 0.4935 0.1497 1
F12 0.9341 0.2500 0.6628 1
# ΔE_f (raw): -70.5 kcal/mol of atoms
# calculated total energy: -5.629 eV per atom
# Fermi-level density of states: 4.8 states/eV/f.u.

***

# GGA-PBE Na2Ce2F7, relaxed
data_Na2Ce2F7
_space_group_name_H-M_alt 'P 1'
_space_group_IT_number 1
_cell_length_a 7.2687
_cell_length_b 7.2687
_cell_length_c 3.9986
_cell_angle_alpha 104.57
_cell_angle_beta 104.57
_cell_angle_gamma 61.65
loop_
_space_group_symop_operation_xyz
'x,y,z'
loop_
_atom_site_label
_atom_site_fract_x
_atom_site_fract_y
_atom_site_fract_z
_atom_site_occupancy
Na1 0.2225 0.7775 0.0000 1
Na2 0.7775 0.2225 0.0000 1
Ce1 0.2785 0.2785 0.2626 1
Ce2 0.7215 0.7215 0.7374 1
F1 0.1039 0.1039 0.8483 1
F2 0.1337 0.5050 0.8000 1
F3 0.4950 0.8663 0.2000 1
F4 0.5000 0.5000 0.5000 1
F5 0.5050 0.1337 0.8000 1
F6 0.8663 0.4950 0.2000 1
F7 0.8961 0.8961 0.1517 1
# ΔE_f (raw): -76.2 kcal/mol of atoms
# calculated total energy: -5.812 eV per atom
# Fermi-level density of states: 15.8 states/eV/f.u.
# energy relative to the lowest polymorph listed for this composition: 0.028 eV/atom

***

# GGA-PBE Na3CeF8, relaxed
data_Na3CeF8
_space_group_name_H-M_alt 'P 1'
_space_group_IT_number 1
_cell_length_a 5.5358
_cell_length_b 5.5358
_cell_length_c 5.5358
_cell_angle_alpha 90.00
_cell_angle_beta 90.00
_cell_angle_gamma 90.00
loop_
_space_group_symop_operation_xyz
'x,y,z'
loop_
_atom_site_label
_atom_site_fract_x
_atom_site_fract_y
_atom_site_fract_z
_atom_site_occupancy
Na1 0.0000 0.0000 0.5000 1
Na2 0.0000 0.5000 0.0000 1
Na3 0.5000 0.0000 0.0000 1
Ce1 0.5000 0.5000 0.5000 1
F1 0.2623 0.2623 0.2623 1
F2 0.2623 0.2623 0.7377 1
F3 0.2623 0.7377 0.2623 1
F4 0.2623 0.7377 0.7377 1
F5 0.7377 0.2623 0.2623 1
F6 0.7377 0.2623 0.7377 1
F7 0.7377 0.7377 0.2623 1
F8 0.7377 0.7377 0.7377 1
# ΔE_f (raw): -68.1 kcal/mol of atoms
# calculated total energy: -5.024 eV per atom
# Fermi-level density of states: 10.6 states/eV/f.u.